NaCeRh | the Alexandria database | PBE-GGA | relaxed; formation energy = -362 meV/atom; raw total energy = -5.230 eV per atom
1.0
-5.212 0.357 -1.335
2.763 -2.616 -0.599
-2.835 -4.082 9.973
Rh Na Ce
2 2 2
direct
0.150 0.299 0.114
0.850 0.701 0.886
0.227 0.453 0.389
0.773 0.547 0.611
0.332 0.665 0.859
0.668 0.335 0.141


NaCe2Rh | the Alexandria database | PBE-GGA | relaxed; formation energy = -127 meV/atom; raw total energy = -5.261 eV per atom
1.0
3.860 0.000 0.000
1.930 3.343 0.000
1.930 1.114 10.620
Na Rh Ce
1 1 2
direct
0.000 0.000 0.000
0.500 0.500 0.500
0.114 0.114 0.657
0.886 0.886 0.343


NaCeRh4 | the Alexandria database | PBE-GGA | relaxed; formation energy = -356 meV/atom; raw total energy = -6.466 eV per atom
1.0
-0.471 0.569 5.255
0.776 -4.162 3.200
4.311 -0.205 3.089
Na Rh Ce
1 4 1
direct
0.000 0.000 0.000
0.625 0.625 0.124
0.625 0.124 0.625
0.625 0.625 0.625
0.124 0.625 0.625
0.250 0.250 0.250


Na3Ce3RhS8 | the Alexandria database | PBE-GGA | relaxed; raw total energy = -5.590 eV per atom; formation energy (no corrections) = -1.448 eV/atom
1.0
-0.910 -7.224 3.136
6.349 1.613 -4.464
-0.561 3.297 7.433
Na Ce Rh S
3 3 1 8
direct
0.000 0.000 0.000
0.000 0.500 0.000
0.500 0.500 0.000
0.500 0.000 0.500
0.500 0.500 0.500
0.000 0.500 0.500
0.000 0.000 0.500
0.255 0.510 0.265
0.745 0.490 0.735
0.781 0.561 0.289
0.219 0.439 0.711
0.781 0.009 0.289
0.219 0.991 0.711
0.228 0.009 0.289
0.772 0.991 0.711


Q: Among the records above, which one has the highest raw total energy?
A: NaCeRh